[1]
Below is BeCrAg2P after structural relaxation, with properties calculated at the PBE level.

Summary:
As for the crystal system: tetragonal. The total energy comes out at -18.83 eV/cell. Its formation energy is 1.126 eV per atom. The value obtained for the total magnetization is 3.149 μB/f.u. Its space group is P4/mmm, No. 123.

```
BeCrAg2P
1.0
5.033 0.000 0.000
0.000 5.033 0.000
0.000 0.000 4.332
Be Cr Ag P
1 1 2 1
Direct
0.000 0.000 0.000
0.500 0.500 0.500
0.000 0.500 0.500
0.500 0.000 0.500
0.500 0.500 0.000
```

---

[2]
Below is Be2CrAgP after structural relaxation, with properties calculated at the PBE level.

Summary:
As for the crystal system: tetragonal. The total energy comes out at -17.36 eV/cell. Its formation energy is 1.595 eV per atom. The value obtained for the total magnetization is 0.000 μB/f.u. Its space group is P4/mmm, No. 123.

```
Be2CrAgP
1.0
4.170 0.000 0.000
0.000 4.170 0.000
0.000 0.000 4.753
Be Cr Ag P
2 1 1 1
Direct
0.000 0.500 0.000
0.500 0.000 0.000
0.000 0.000 0.000
0.000 0.000 0.500
0.500 0.500 0.500
```

---

[3]
Below is BeCrAgSe2 after structural relaxation, with properties calculated at the PBE level.

Summary:
As for the crystal system: tetragonal. The total energy comes out at -19.06 eV/cell. The value obtained for the total magnetization is 4.210 μB/f.u. Its space group is P4/mmm, No. 123.

```
BeCrAgSe2
1.0
5.152 0.000 0.000
0.000 5.152 0.000
0.000 0.000 4.249
Be Cr Ag Se
1 1 1 2
Direct
0.000 0.000 0.000
0.500 0.500 0.000
0.000 0.000 0.500
0.000 0.500 0.500
0.500 0.000 0.500
```

---

[4]
Below is BeV2CrAg after structural relaxation, with properties calculated at the PBE level.

Summary:
As for the crystal system: tetragonal. The total energy comes out at -24.94 eV/cell. Its formation energy is 1.900 eV per atom. The value obtained for the total magnetization is 1.952 μB/f.u. Its space group is P4/mmm, No. 123.

```
BeV2CrAg
1.0
4.843 0.000 0.000
0.000 4.843 0.000
0.000 0.000 4.838
Be V Cr Ag
1 2 1 1
Direct
0.000 0.000 0.000
0.000 0.500 0.500
0.500 0.000 0.500
0.500 0.500 0.000
0.500 0.500 0.500
```

---

[5]
Below is CsBeAg2 after structural relaxation, with properties calculated at the PBE level.

Summary:
As for the crystal system: tetragonal. The total energy comes out at -17.72 eV/cell. Its formation energy is 0.355 eV per atom. The value obtained for the total magnetization is 0.000 μB/f.u. Its space group is I4_1/amd, No. 141.

```
CsBeAg2
1.0
-2.841 2.841 7.729
2.841 -2.841 7.729
2.841 2.841 -7.729
Cs Be Ag
2 2 4
Direct
0.375 0.625 0.750
0.625 0.375 0.250
0.125 0.875 0.250
0.875 0.125 0.750
0.000 0.000 0.000
0.000 0.000 0.500
0.000 0.500 0.000
0.500 0.000 0.500
```

---

[6]
Below is Cs2BeAg after structural relaxation, with properties calculated at the PBE level.

Summary:
As for the crystal system: cubic. The total energy comes out at -5.51 eV/cell. Its formation energy is 0.693 eV per atom. The value obtained for the total magnetization is 0.000 μB/f.u. Its space group is Fm-3m, No. 225.

```
Cs2BeAg
1.0
0.000 4.478 4.478
4.478 0.000 4.478
4.478 4.478 0.000
Cs Be Ag
2 1 1
Direct
0.250 0.250 0.250
0.750 0.750 0.750
0.000 0.000 0.000
0.500 0.500 0.500
```

---

[7]
Below is CsBeAgF4 after structural relaxation, with properties calculated at the PBE level.

Summary:
As for the crystal system: monoclinic. The total energy comes out at -65.23 eV/cell. The value obtained for the total magnetization is 0.000 μB/f.u. Its space group is P2_1/m, No. 11.

```
CsBeAgF4
1.0
5.291 0.000 0.000
0.000 5.713 0.000
-0.980 0.000 8.025
Cs Be Ag F
2 2 2 8
Direct
0.232 0.250 0.129
0.768 0.750 0.871
0.353 0.250 0.698
0.647 0.750 0.302
0.196 0.750 0.527
0.804 0.250 0.473
0.247 0.023 0.773
0.247 0.477 0.773
0.276 0.250 0.503
0.348 0.750 0.265
0.652 0.250 0.735
0.724 0.750 0.497
0.753 0.523 0.227
0.753 0.977 0.227
```

---

[8]
Below is CsBe2AgF8 after structural relaxation, with properties calculated at the PBE level.

Summary:
As for the crystal system: monoclinic. The total energy comes out at -55.34 eV/cell. The value obtained for the total magnetization is 1.994 μB/f.u. Its space group is C2/m, No. 12.

```
CsBe2AgF8
1.0
4.191 -2.742 0.000
4.191 2.742 0.000
-0.929 0.000 8.667
Cs Be Ag F
1 2 1 8
Direct
0.000 0.000 0.000
0.378 0.378 0.692
0.622 0.622 0.308
0.000 0.000 0.500
0.253 0.253 0.544
0.254 0.725 0.678
0.275 0.746 0.322
0.321 0.321 0.849
0.679 0.679 0.151
0.725 0.254 0.678
0.746 0.275 0.322
0.747 0.747 0.456
```

---

[9]
Below is CsBe2AgF after structural relaxation, with properties calculated at the PBE level.

Summary:
As for the crystal system: tetragonal. The total energy comes out at -13.42 eV/cell. The value obtained for the total magnetization is 0.000 μB/f.u. Its space group is P4/mmm, No. 123.

```
CsBe2AgF
1.0
4.399 0.000 0.000
0.000 4.399 0.000
0.000 0.000 7.964
Cs Be Ag F
1 2 1 1
Direct
0.000 0.000 0.000
0.000 0.500 0.500
0.500 0.000 0.500
0.000 0.000 0.500
0.500 0.500 0.000
```

---

[10]
Below is CsBeAgI4 after structural relaxation, with properties calculated at the PBE level.

Summary:
As for the crystal system: monoclinic. The total energy comes out at -37.61 eV/cell. The value obtained for the total magnetization is 0.000 μB/f.u. Its space group is P2_1/m, No. 11.

```
CsBeAgI4
1.0
6.925 0.000 0.000
0.000 8.180 0.000
-3.060 0.000 9.897
Cs Be Ag I
2 2 2 8
Direct
0.217 0.250 0.409
0.783 0.750 0.591
0.321 0.750 0.195
0.679 0.250 0.805
0.342 0.250 0.989
0.658 0.750 0.011
0.052 0.750 0.986
0.199 0.750 0.391
0.455 0.014 0.794
0.455 0.486 0.794
0.545 0.514 0.206
0.545 0.986 0.206
0.801 0.250 0.609
0.948 0.250 0.014
```

---

[11]
Below is Cs2BeAgP2 after structural relaxation, with properties calculated at the PBE level.

Summary:
As for the crystal system: orthorhombic. The total energy comes out at -40.40 eV/cell. Its formation energy is -0.183 eV per atom. The value obtained for the total magnetization is 0.000 μB/f.u. Its space group is Ibam, No. 72.

```
Cs2BeAgP2
1.0
-3.088 10.567 2.954
3.088 -10.567 2.954
3.088 10.567 -2.954
Cs Be Ag P
4 2 2 4
Direct
0.141 0.240 0.381
0.359 0.740 0.099
0.641 0.260 0.901
0.859 0.760 0.619
0.250 0.750 0.500
0.750 0.250 0.500
0.250 0.250 0.000
0.750 0.750 0.000
0.056 0.705 0.761
0.444 0.205 0.649
0.556 0.795 0.351
0.944 0.295 0.239
```

---

[12]
Below is Cs2BeAgRu after structural relaxation, with properties calculated at the PBE level.

Summary:
As for the crystal system: tetragonal. The total energy comes out at -13.13 eV/cell. Its formation energy is 0.886 eV per atom. The value obtained for the total magnetization is 0.006 μB/f.u. Its space group is P4/mmm, No. 123.

```
Cs2BeAgRu
1.0
6.093 0.000 0.000
0.000 6.093 0.000
0.000 0.000 4.330
Cs Be Ag Ru
2 1 1 1
Direct
0.000 0.500 0.000
0.500 0.000 0.000
0.000 0.000 0.500
0.500 0.500 0.500
0.000 0.000 0.000
```

---

[13]
Below is CsBeAgSe2 after structural relaxation, with properties calculated at the PBE level.

Summary:
As for the crystal system: monoclinic. The total energy comes out at -34.89 eV/cell. The value obtained for the total magnetization is 0.000 μB/f.u. Its space group is C2/m, No. 12.

```
CsBeAgSe2
1.0
7.004 -2.027 0.000
7.004 2.027 0.000
-1.545 0.000 9.827
Cs Be Ag Se
2 2 2 4
Direct
0.151 0.151 0.155
0.849 0.849 0.845
0.438 0.438 0.349
0.562 0.562 0.651
0.202 0.202 0.570
0.798 0.798 0.430
0.104 0.104 0.778
0.398 0.398 0.567
0.602 0.602 0.433
0.896 0.896 0.222
```

---

[14]
Below is Cs2BeSiAg after structural relaxation, with properties calculated at the PBE level.

Summary:
As for the crystal system: tetragonal. The total energy comes out at -11.94 eV/cell. The value obtained for the total magnetization is 0.000 μB/f.u. Its space group is P4/mmm, No. 123.

```
Cs2BeSiAg
1.0
7.057 0.000 0.000
0.000 7.057 0.000
0.000 0.000 4.121
Cs Be Si Ag
2 1 1 1
Direct
0.000 0.500 0.000
0.500 0.000 0.000
0.000 0.000 0.000
0.000 0.000 0.500
0.500 0.500 0.500
```

---

[15]
Below is Cs2BeAgSn after structural relaxation, with properties calculated at the PBE level.

Summary:
As for the crystal system: tetragonal. The total energy comes out at -9.16 eV/cell. Its formation energy is 0.625 eV per atom. The value obtained for the total magnetization is 0.001 μB/f.u. Its space group is P4/mmm, No. 123.

```
Cs2BeAgSn
1.0
7.057 0.000 0.000
0.000 7.057 0.000
0.000 0.000 5.209
Cs Be Ag Sn
2 1 1 1
Direct
0.000 0.500 0.000
0.500 0.000 0.000
0.000 0.000 0.500
0.500 0.500 0.000
0.500 0.500 0.500
```

---

[16]
Below is CsBeAgTe2 after structural relaxation, with properties calculated at the PBE level.

Summary:
As for the crystal system: monoclinic. The total energy comes out at -31.41 eV/cell. The value obtained for the total magnetization is 0.000 μB/f.u. Its space group is P2/c, No. 13.

```
CsBeAgTe2
1.0
8.489 0.000 0.000
0.000 6.432 0.000
-2.773 0.000 6.281
Cs Be Ag Te
2 2 2 4
Direct
0.000 0.241 0.250
0.000 0.759 0.750
0.500 0.500 0.000
0.500 0.500 0.500
0.500 0.001 0.250
0.500 0.999 0.750
0.288 0.261 0.894
0.288 0.739 0.394
0.712 0.261 0.606
0.712 0.739 0.106
```

---

[17]
Below is BeCu3Ag after structural relaxation, with properties calculated at the PBE level.

Summary:
The energy above the lowest structure with this stoichiometry comes out at 94.05 kJ per mole of atoms. As for the crystal system: cubic. The total energy comes out at -12.08 eV/cell. Its formation energy is 1.358 eV per atom. The value obtained for the total magnetization is 0.000 μB/f.u. Its space group is Pm-3m, No. 221.

```
BeCu3Ag
1.0
4.676 0.000 0.000
0.000 4.676 0.000
0.000 0.000 4.676
Be Cu Ag
1 3 1
Direct
0.000 0.000 0.000
0.000 0.500 0.500
0.500 0.000 0.500
0.500 0.500 0.000
0.500 0.500 0.500
```

---

[18]
Below is BeCu3Ag after structural relaxation, with properties calculated at the PBE level.

Summary:
The energy above the lowest structure with this stoichiometry comes out at 0.00 kJ per mole of atoms. As for the crystal system: cubic. The total energy comes out at -16.95 eV/cell. Its formation energy is 0.383 eV per atom. The value obtained for the total magnetization is 0.000 μB/f.u. Its space group is Pm-3m, No. 221.

```
BeCu3Ag
1.0
4.082 0.000 0.000
0.000 4.082 0.000
0.000 0.000 4.082
Be Cu Ag
1 3 1
Direct
0.000 0.000 0.000
0.000 0.000 0.500
0.000 0.500 0.000
0.500 0.000 0.000
0.500 0.500 0.500
```

---

[19]
Below is BeCuAg after structural relaxation, with properties calculated at the PBE level.

Summary:
The energy above the lowest structure with this stoichiometry comes out at 0.00 kJ per mole of atoms. As for the crystal system: tetragonal. The total energy comes out at -10.47 eV/cell. Its formation energy is 0.067 eV per atom. The value obtained for the total magnetization is 0.000 μB/f.u. Its space group is I4mm, No. 107.

```
BeCuAg
1.0
-1.443 1.443 4.522
1.443 -1.443 4.522
1.443 1.443 -4.522
Be Cu Ag
1 1 1
Direct
0.000 0.000 0.000
0.379 0.379 0.000
0.676 0.676 0.000
```

---

[20]
Below is Be2CuAg after structural relaxation, with properties calculated at the PBE level.

Summary:
The energy above the lowest structure with this stoichiometry comes out at 21.96 kJ per mole of atoms. As for the crystal system: trigonal. The total energy comes out at -13.22 eV/cell. Its formation energy is 0.295 eV per atom. The value obtained for the total magnetization is 0.000 μB/f.u. Its space group is R3m, No. 160.

```
Be2CuAg
1.0
1.338 0.773 7.858
-1.338 0.773 7.858
0.000 -1.545 7.858
Be Cu Ag
2 1 1
Direct
0.000 0.000 0.000
0.262 0.262 0.262
0.741 0.741 0.741
0.508 0.508 0.508
```